# 1
Computed, not measured: a relaxed PmNdEr2Te6 crystal at the PBE level of DFT.

The structure belongs to space group R3 (No. 146, hexagonal axes); the cell edges are 7.7942, 7.7942 and 21.1243 Å and the angles 90.00°, 90.00° and 120.00°. The inequivalent atoms are Pm at (0.0000, 0.0000, 0.0000), Nd at (0.0000, 0.0000, 0.4994), Er at (0.0000, 0.0000, 0.1891), Er at (0.0000, 0.0000, 0.6887), Te at (0.0313, 0.6850, 0.2655) and Te at (0.0342, 0.3470, 0.7652).

The calculation puts the spin magnetization at 0.0 μB/cell. For the uncorrected formation energy, the calculation gives -1.361 eV per atom. Its crystal system is trigonal.

# 2
Computed, not measured: a relaxed PrTm2Al crystal at the PBE level of DFT.

The structure belongs to space group Pnma (No. 62); the cell edges are 5.9588, 3.5682 and 22.6362 Å and the angles 90.00°, 90.00° and 90.00°. The inequivalent atoms are Pr at (0.0965, 0.2500, 0.1277), Tm at (0.1024, 0.2500, 0.2884), Tm at (0.1074, 0.7500, 0.4266) and Al at (0.1521, 0.7500, 0.0138).

For the excess energy over the best structure of this formula in the dataset, the calculation gives 0.82 eV per formula unit. The calculation puts the spin magnetization at 0.0 μB/cell. Its density of states at the Fermi level is 1.457 states/eV/atom. For the formation energy, the calculation gives 0.0039 eV per atom. Its crystal system is orthorhombic.